Entry 1:
The following is a DFT calculation (PBE-GGA) of a relaxed CaIn6Pt4 crystal.

Summary:
space-group type: I-42m
total DFT energy (no corrections): -48.9 eV per cell
M_tot: 0.000 μB/cell
calculated formation energy: -6.26 eV/f.u.
crystal system: tetragonal

abc: 7.086 7.086 7.086
angles: 89.47 120.31 120.31
Element x y z (fractional)
Ca  0.000  0.000  0.000
In  0.000  0.879  0.537
In  0.000  0.537  0.879
In  0.658  0.121  0.121
In  0.500  0.000  0.500
In  0.342  0.463  0.463
In  0.500  0.500  0.000
Pt  0.000  0.247  0.605
Pt  0.642  0.395  0.395
Pt  0.000  0.605  0.247
Pt  0.358  0.753  0.753

Entry 2:
The following is a DFT calculation (PBE-GGA) of a relaxed K2CrCo crystal.

Summary:
space-group type: P2/m
energy above the lowest structure with this stoichiometry: 12.39 kcal/mol of atoms
total DFT energy (no corrections): -13.7 eV per cell
M_tot: 6.496 μB/cell
calculated formation energy: 5.27 eV/f.u.
crystal system: monoclinic

abc: 5.397 3.207 7.185
angles: 64.49 90.00 90.00
Each line ends with the local moment (μB).
Element x y z (fractional)
Co  0.500  0.250  0.250  1.80
Cr  0.500  0.750  0.750  4.05
K  0.000  0.004  0.011  0.00
K  0.000  0.496  0.489  0.00

Entry 3:
The following is a DFT calculation (PBE-GGA) of a relaxed K12Au5F3 crystal.

Summary:
space-group type: Ia-3d
total DFT energy (no corrections): -198.2 eV per cell
M_tot: 0.000 μB/cell
crystal system: cubic
E_form (uncorrected): -14.39 eV/f.u.

abc: 16.048 16.048 16.048
angles: 109.47 109.47 109.47
Element x y z (fractional)
F  0.750  0.375  0.125
F  0.875  0.750  0.125
F  0.375  0.750  0.625
F  0.250  0.125  0.375
F  0.875  0.125  0.250
F  0.375  0.625  0.250
F  0.625  0.375  0.750
F  0.125  0.875  0.750
F  0.750  0.875  0.625
F  0.625  0.250  0.375
F  0.125  0.250  0.875
F  0.250  0.625  0.875
Au  0.125  0.375  0.250
Au  0.000  0.500  0.000
Au  0.000  0.000  0.000
Au  0.375  0.250  0.125
Au  0.500  0.000  0.500
Au  0.500  0.500  0.000
Au  0.125  0.750  0.375
Au  0.750  0.125  0.875
Au  0.750  0.625  0.375
Au  0.375  0.125  0.750
Au  0.625  0.875  0.250
Au  0.500  0.500  0.500
Au  0.500  0.000  0.000
Au  0.000  0.000  0.500
Au  0.250  0.375  0.625
Au  0.250  0.875  0.125
Au  0.000  0.500  0.500
Au  0.875  0.250  0.625
Au  0.625  0.750  0.875
Au  0.875  0.625  0.750
K  0.746  0.120  0.074
K  0.328  0.574  0.454
K  0.926  0.380  0.254
K  0.574  0.246  0.120
K  0.626  0.746  0.672
K  0.926  0.546  0.172
K  0.328  0.754  0.374
K  0.046  0.874  0.120
K  0.546  0.926  0.672
K  0.746  0.626  0.172
K  0.754  0.426  0.380
K  0.828  0.954  0.074
K  0.120  0.746  0.574
K  0.380  0.454  0.126
K  0.126  0.954  0.380
K  0.374  0.120  0.546
K  0.126  0.172  0.246
K  0.426  0.672  0.046
K  0.828  0.874  0.254
K  0.120  0.374  0.046
K  0.380  0.926  0.754
K  0.546  0.620  0.374
K  0.954  0.828  0.574
K  0.754  0.328  0.874
K  0.454  0.380  0.626
K  0.046  0.172  0.426
K  0.246  0.672  0.126
K  0.172  0.126  0.746
K  0.620  0.074  0.246
K  0.880  0.626  0.954
K  0.574  0.328  0.954
K  0.626  0.880  0.454
K  0.874  0.828  0.754
K  0.874  0.046  0.620
K  0.880  0.254  0.426
K  0.172  0.046  0.926
K  0.620  0.546  0.874
K  0.454  0.074  0.328
K  0.254  0.374  0.828
K  0.246  0.574  0.620
K  0.954  0.126  0.880
K  0.672  0.246  0.626
K  0.426  0.754  0.880
K  0.074  0.454  0.828
K  0.374  0.254  0.328
K  0.074  0.620  0.746
K  0.672  0.426  0.546
K  0.254  0.880  0.926

Entry 4:
The following is a DFT calculation (PBE-GGA) of a relaxed BaAg6O4 crystal.

Summary:
space-group type: I-42m
energy above the lowest structure with this stoichiometry: 6.41 kcal/mol of atoms
total DFT energy (no corrections): -42.1 eV per cell
M_tot: 0.000 μB/cell
crystal system: tetragonal
E_form (uncorrected): -3.21 eV/f.u.

abc: 6.364 6.364 6.364
angles: 93.82 117.82 117.82
Element x y z (fractional)
Ba  0.000  0.000  0.000
Ag  0.000  0.822  0.503
Ag  0.000  0.503  0.822
Ag  0.681  0.178  0.178
Ag  0.500  0.000  0.500
Ag  0.319  0.497  0.497
Ag  0.500  0.500  0.000
O  0.000  0.166  0.622
O  0.544  0.378  0.378
O  0.000  0.622  0.166
O  0.456  0.834  0.834

Entry 5:
The following is a DFT calculation (PBE-GGA) of a relaxed RbCrOs2 crystal.

Summary:
space-group type: I-42d
energy above the lowest structure with this stoichiometry: 0.00 kcal/mol of atoms
total DFT energy (no corrections): -52.0 eV per cell
M_tot: 0.000 μB/cell
calculated formation energy: 7.08 eV/f.u.
crystal system: tetragonal

abc: 7.343 7.343 5.993
angles: 52.22 52.22 90.00
Element x y z (fractional)
Cr  0.500  0.500  0.000
Cr  0.250  0.750  0.500
Os  0.546  0.125  0.250
Os  0.204  0.625  0.250
Os  0.375  0.454  0.750
Os  0.875  0.796  0.750
Rb  0.000  0.000  0.000
Rb  0.750  0.250  0.500

Entry 6:
The following is a DFT calculation (PBE-GGA) of a relaxed LiDySc crystal.

Summary:
space-group type: C2/m
energy above the lowest structure with this stoichiometry: 0.00 kcal/mol of atoms
total DFT energy (no corrections): -25.1 eV per cell
M_tot: 1.110 μB/cell
calculated formation energy: 0.30 eV/f.u.
crystal system: monoclinic

abc: 3.383 3.383 19.625
angles: 121.11 121.11 59.95
Each line ends with the local moment (μB).
Element x y z (fractional)
Li  0.982  0.981  0.573  0.01
Li  0.018  0.019  0.427  0.01
Dy  0.644  0.644  0.905  0.05
Dy  0.356  0.356  0.095  0.05
Sc  0.968  0.968  0.733  0.26
Sc  0.032  0.032  0.267  0.26

Entry 7:
The following is a DFT calculation (PBE-GGA) of a relaxed Sr2BeNi crystal.

Summary:
space-group type: I-4m2
total DFT energy (no corrections): -10.6 eV per cell
M_tot: 0.000 μB/cell
calculated formation energy: 2.26 eV/f.u.
crystal system: tetragonal

abc: 5.953 5.953 5.953
angles: 136.08 136.08 63.86
Element x y z (fractional)
Sr  0.000  0.000  0.000
Sr  0.250  0.750  0.500
Be  0.500  0.500  0.000
Ni  0.750  0.250  0.500

Entry 8:
The following is a DFT calculation (PBE-GGA) of a relaxed LaTlGeO4 crystal.

Summary:
space-group type: P2_1/m
total DFT energy (no corrections): -93.0 eV per cell
M_tot: 0.000 μB/cell
crystal system: monoclinic
E_form (uncorrected): -14.76 eV/f.u.

abc: 6.250 5.950 7.798
angles: 90.00 103.32 90.00
Element x y z (fractional)
La  0.787  0.750  0.430
La  0.213  0.250  0.570
Tl  0.673  0.750  0.884
Tl  0.327  0.250  0.116
Ge  0.272  0.750  0.352
Ge  0.728  0.250  0.648
O  0.915  0.481  0.661
O  0.085  0.981  0.339
O  0.085  0.519  0.339
O  0.915  0.019  0.661
O  0.449  0.750  0.206
O  0.551  0.250  0.794
O  0.455  0.750  0.566
O  0.545  0.250  0.434

Entry 9:
The following is a DFT calculation (PBE-GGA) of a relaxed LuZnCu2 crystal.

Summary:
space-group type: P4/mmm
total DFT energy (no corrections): -14.4 eV per cell
M_tot: 0.000 μB/cell
calculated formation energy: -0.37 eV/f.u.
crystal system: tetragonal

abc: 3.687 4.279 4.279
angles: 90.00 90.00 90.00
Element x y z (fractional)
Zn  0.500  0.000  0.000
Lu  0.500  0.500  0.500
Cu  0.000  0.000  0.500
Cu  0.000  0.500  0.000

Entry 10:
The following is a DFT calculation (PBE-GGA) of a relaxed Ce3Dy4TmS8 crystal.

Summary:
space-group type: R-3m
total DFT energy (no corrections): -105.9 eV per cell
M_tot: 1.688 μB/cell
crystal system: trigonal
E_form (uncorrected): -32.16 eV/f.u.

abc: 7.871 7.892 7.871
angles: 119.91 120.00 90.00
Each line ends with the local moment (μB).
Element x y z (fractional)
Ce  0.500  0.500  0.000  0.47
Ce  0.500  0.500  0.500  0.47
Ce  0.000  0.500  0.500  0.47
Dy  0.500  0.000  0.000  0.01
Dy  0.500  0.000  0.500  -0.01
Dy  0.000  0.000  0.000  -0.01
Dy  0.000  0.000  0.500  -0.01
Tm  0.000  0.500  0.000  0.02
S  0.248  0.755  0.007  0.00
S  0.248  0.755  0.496  0.00
S  0.246  0.239  0.493  -0.01
S  0.759  0.755  0.007  0.00
S  0.241  0.245  0.993  0.00
S  0.754  0.761  0.507  -0.01
S  0.752  0.245  0.504  0.00
S  0.752  0.245  0.993  0.00

Entry 11:
The following is a DFT calculation (PBE-GGA) of a relaxed NpGaTcGe crystal.

Summary:
space-group type: F-43m
total DFT energy (no corrections): -31.0 eV per cell
M_tot: 2.582 μB/cell
calculated formation energy: -0.08 eV/f.u.
crystal system: cubic

abc: 4.629 4.629 4.629
angles: 60.00 60.00 60.00
Each line ends with the local moment (μB).
Element x y z (fractional)
Np  0.000  0.000  0.000  3.25
Ge  0.750  0.750  0.750  -0.01
Tc  0.500  0.500  0.500  -0.65
Ga  0.250  0.250  0.250  0.00

Entry 12:
The following is a DFT calculation (PBE-GGA) of a relaxed YZr2Ga crystal.

Summary:
space-group type: P2_1/m
total DFT energy (no corrections): -55.8 eV per cell
M_tot: 0.000 μB/cell
calculated formation energy: -1.31 eV/f.u.
crystal system: monoclinic

abc: 4.226 4.336 10.603
angles: 101.79 90.00 90.00
Element x y z (fractional)
Y  0.250  0.306  0.612
Y  0.750  0.694  0.388
Zr  0.750  0.442  0.883
Zr  0.250  0.558  0.117
Zr  0.250  0.944  0.887
Zr  0.750  0.056  0.113
Ga  0.750  0.842  0.683
Ga  0.250  0.158  0.317